Density functional theory data (PBE) for an optimized crystal structure of Re3N4.

- symmetry = C2/m
- polymorph energy (0 for the lowest one) (eV/f.u.) = 0.00
- crystal system = monoclinic
- electronic total energy (eV per atom) = -9.928
- calculated density (g/cm³) = 13.84

Cell: 5.819 5.819 5.148 Å, 113.00 113.00 27.53°
Fractional positions:
Re  0.000  0.000  0.000
Re  0.269  0.269  0.305
Re  0.731  0.731  0.695
N  0.110  0.110  0.424
N  0.362  0.362  0.026
N  0.638  0.638  0.974
N  0.890  0.890  0.576